Below is crystalline Li2Cr2SiO6 at its relaxed geometry, with properties calculated at the PBE+U level.

POSCAR file:
```
Li2Cr2SiO6
1.0
0.0000 4.1950 8.4547
2.9408 0.0000 8.4547
2.9408 4.1950 0.0000
Cr O Li Si
4 12 4 2
Direct
0.1708 0.1708 0.8292 Cr
0.0792 0.0792 0.4208 Cr
0.4208 0.4208 0.0792 Cr
0.8292 0.8292 0.1708 Cr
0.1049 0.5535 0.3785 O
0.2868 0.8715 0.6965 O
0.0383 0.4617 0.0383 O
0.5535 0.1049 0.9632 O
0.7883 0.2117 0.7883 O
0.2117 0.7883 0.2117 O
0.9632 0.3785 0.5535 O
0.1451 0.6965 0.8715 O
0.4617 0.0383 0.4617 O
0.3785 0.9632 0.1049 O
0.8715 0.2868 0.1451 O
0.6965 0.1451 0.2868 O
0.9086 0.9086 0.5914 Li
0.6586 0.6586 0.3414 Li
0.5914 0.5914 0.9086 Li
0.3414 0.3414 0.6586 Li
0.2500 0.2500 0.2500 Si
0.0000 0.0000 0.0000 Si
```

Calculated values
The spin magnetization comes out at 0.55 μB per atom. As for the space group: Fddd (70). The density of states at the Fermi level is 0.00 states/eV/f.u. For the total energy, the calculation gives -156.7 eV per cell.